DFT (GGA-PBE) results for a geometry-optimized NdHo2Si4 structure.

Lattice parameters (Å, degrees): 9.236 9.236 9.236 155.71 153.15 36.52
Positions (direct):
Nd: 0.000 0.000 0.000
Ho: 0.183 0.683 0.500
Ho: 0.817 0.317 0.500
Si: 0.349 0.849 0.500
Si: 0.433 0.433 0.000
Si: 0.567 0.567 0.000
Si: 0.651 0.151 0.500

Output
The raw formation energy is -513.0 kJ/mol of formula units. The total energy comes out at -40.93 eV for the cell shown. The value obtained for the magnetic moment is 0.00 μB/atom.